[1]
{
  "formula": "Dy5ErSc",
  "functional": "PBE-GGA",
  "state": "relaxed",
  "e_above_lowest_polymorph_ev_per_atom": 0.8414,
  "spacegroup": "Imm2, No. 44",
  "crystal_system": "orthorhombic",
  "lattice_angstrom": [[8.037, 0.000, 0.000], [0.000, 11.382, 0.000], [0.000, 0.000, 5.976]],
  "species": ["Dy", "Dy", "Dy", "Dy", "Dy", "Dy", "Dy", "Dy", "Dy", "Dy", "Er", "Er", "Sc", "Sc"],
  "frac_coords": [[0.000, 0.000, 0.000], [0.000, 0.252, 0.737], [0.000, 0.748, 0.737], [0.176, 0.500, 0.238], [0.324, 0.000, 0.738], [0.500, 0.248, 0.237], [0.500, 0.500, 0.500], [0.500, 0.752, 0.237], [0.676, 0.000, 0.738], [0.824, 0.500, 0.238], [0.000, 0.000, 0.477], [0.500, 0.500, 0.977], [0.000, 0.500, 0.738], [0.500, 0.000, 0.238]]
}

=====

[2]
{
  "formula": "Dy5ErSc4",
  "functional": "PBE-GGA",
  "state": "relaxed",
  "e_above_lowest_polymorph_ev_per_atom": 0.2928,
  "spacegroup": "I4, No. 79",
  "crystal_system": "tetragonal",
  "lattice_angstrom": [[-4.895, 4.895, 3.067], [4.895, -4.895, 3.067], [4.895, 4.895, -3.067]],
  "species": ["Dy", "Dy", "Dy", "Dy", "Dy", "Er", "Sc", "Sc", "Sc", "Sc"],
  "frac_coords": [[0.000, 0.000, 0.000], [0.028, 0.419, 0.903], [0.125, 0.028, 0.609], [0.419, 0.516, 0.391], [0.516, 0.125, 0.097], [0.542, 0.542, 0.000], [0.128, 0.716, 0.301], [0.414, 0.827, 0.699], [0.716, 0.414, 0.588], [0.827, 0.128, 0.412]]
}

=====

[3]
{
  "formula": "Dy12Er2Sc5",
  "functional": "PBE-GGA",
  "state": "relaxed",
  "spacegroup": "C2/m, No. 12",
  "dft_energy_ev_per_atom": -4.90,
  "crystal_system": "monoclinic",
  "lattice_angstrom": [[7.944, -4.358, 0.000], [7.944, 4.358, 0.000], [-0.097, 0.000, 8.265]],
  "species": ["Dy", "Dy", "Dy", "Dy", "Dy", "Dy", "Dy", "Dy", "Dy", "Dy", "Dy", "Dy", "Er", "Er", "Sc", "Sc", "Sc", "Sc", "Sc"],
  "frac_coords": [[0.054, 0.054, 0.281], [0.103, 0.678, 0.383], [0.109, 0.519, 0.776], [0.322, 0.897, 0.617], [0.334, 0.334, 0.130], [0.481, 0.891, 0.224], [0.519, 0.109, 0.776], [0.666, 0.666, 0.870], [0.678, 0.103, 0.383], [0.891, 0.481, 0.224], [0.897, 0.322, 0.617], [0.946, 0.946, 0.719], [0.287, 0.713, 0.000], [0.713, 0.287, 0.000], [0.146, 0.146, 0.942], [0.252, 0.252, 0.454], [0.500, 0.500, 0.500], [0.748, 0.748, 0.546], [0.854, 0.854, 0.058]]
}

=====

[4]
{
  "formula": "Dy3Er7Sc",
  "functional": "PBE-GGA",
  "state": "relaxed",
  "e_above_lowest_polymorph_ev_per_atom": 0.0351,
  "spacegroup": "P3m1, No. 156",
  "crystal_system": "trigonal",
  "lattice_angstrom": [[6.930, 0.000, 0.000], [-3.465, 6.002, 0.000], [0.000, 0.000, 8.466]],
  "species": ["Dy", "Dy", "Dy", "Er", "Er", "Er", "Er", "Er", "Er", "Er", "Sc"],
  "frac_coords": [[0.167, 0.335, 0.000], [0.167, 0.833, 0.000], [0.665, 0.833, 0.000], [0.000, 0.000, 0.661], [0.003, 0.502, 0.660], [0.331, 0.165, 0.333], [0.498, 0.502, 0.660], [0.498, 0.997, 0.660], [0.835, 0.165, 0.333], [0.835, 0.669, 0.333], [0.333, 0.667, 0.335]]
}

=====

[5]
{
  "formula": "Dy7Er3Sc",
  "functional": "PBE-GGA",
  "state": "relaxed",
  "e_above_lowest_polymorph_ev_per_atom": 0.1105,
  "spacegroup": "Immm, No. 71",
  "crystal_system": "orthorhombic",
  "lattice_angstrom": [[-2.837, 5.522, 5.565], [2.837, -5.522, 5.565], [2.837, 5.522, -5.565]],
  "species": ["Dy", "Dy", "Dy", "Dy", "Dy", "Dy", "Dy", "Er", "Er", "Er", "Sc"],
  "frac_coords": [[0.000, 0.000, 0.000], [0.100, 0.792, 0.308], [0.286, 0.500, 0.786], [0.484, 0.792, 0.692], [0.516, 0.208, 0.308], [0.714, 0.500, 0.214], [0.900, 0.208, 0.692], [0.295, 0.295, 0.000], [0.500, 0.000, 0.500], [0.705, 0.705, 0.000], [0.000, 0.500, 0.500]]
}

=====

[6]
{
  "formula": "Dy6ErSc3",
  "functional": "PBE-GGA",
  "state": "relaxed",
  "e_above_lowest_polymorph_ev_per_atom": 0.0000,
  "spacegroup": "Cmc2_1, No. 36",
  "crystal_system": "orthorhombic",
  "lattice_angstrom": [[4.685, -10.164, 0.000], [4.685, 10.164, 0.000], [0.000, 0.000, 6.212]],
  "species": ["Dy", "Dy", "Dy", "Dy", "Dy", "Dy", "Dy", "Dy", "Dy", "Dy", "Dy", "Dy", "Er", "Er", "Sc", "Sc", "Sc", "Sc", "Sc", "Sc"],
  "frac_coords": [[0.015, 0.985, 0.500], [0.104, 0.541, 0.032], [0.263, 0.377, 0.290], [0.302, 0.698, 0.500], [0.377, 0.263, 0.790], [0.459, 0.896, 0.032], [0.541, 0.104, 0.532], [0.623, 0.737, 0.290], [0.698, 0.302, 0.000], [0.737, 0.623, 0.790], [0.896, 0.459, 0.532], [0.985, 0.015, 0.000], [0.158, 0.842, 0.724], [0.842, 0.158, 0.224], [0.041, 0.294, 0.695], [0.294, 0.041, 0.195], [0.417, 0.583, 0.811], [0.583, 0.417, 0.311], [0.706, 0.959, 0.695], [0.959, 0.706, 0.195]]
}

=====

[7]
{
  "formula": "DyEr4Sc15",
  "functional": "PBE-GGA",
  "state": "relaxed",
  "spacegroup": "P4/mmm, No. 123",
  "dft_energy_ev_per_atom": -5.84,
  "crystal_system": "tetragonal",
  "lattice_angstrom": [[4.698, 0.000, 0.000], [0.000, 4.698, 0.000], [0.000, 0.000, 23.517]],
  "species": ["Dy", "Er", "Er", "Er", "Er", "Sc", "Sc", "Sc", "Sc", "Sc", "Sc", "Sc", "Sc", "Sc", "Sc", "Sc", "Sc", "Sc", "Sc", "Sc"],
  "frac_coords": [[0.000, 0.000, 0.000], [0.000, 0.000, 0.200], [0.000, 0.000, 0.400], [0.000, 0.000, 0.600], [0.000, 0.000, 0.800], [0.000, 0.500, 0.100], [0.000, 0.500, 0.300], [0.000, 0.500, 0.500], [0.000, 0.500, 0.700], [0.000, 0.500, 0.900], [0.500, 0.000, 0.100], [0.500, 0.000, 0.300], [0.500, 0.000, 0.500], [0.500, 0.000, 0.700], [0.500, 0.000, 0.900], [0.500, 0.500, 0.000], [0.500, 0.500, 0.200], [0.500, 0.500, 0.400], [0.500, 0.500, 0.600], [0.500, 0.500, 0.800]]
}

=====

[8]
{
  "formula": "Dy4ErSc2",
  "functional": "PBE-GGA",
  "state": "relaxed",
  "e_above_lowest_polymorph_ev_per_atom": 0.0000,
  "spacegroup": "P2_1/m, No. 11",
  "crystal_system": "monoclinic",
  "lattice_angstrom": [[5.432, 0.000, 0.000], [0.000, 6.769, 0.000], [-2.717, 0.000, 11.262]],
  "species": ["Dy", "Dy", "Dy", "Dy", "Dy", "Dy", "Dy", "Dy", "Er", "Er", "Sc", "Sc", "Sc", "Sc"],
  "frac_coords": [[0.074, 0.250, 0.150], [0.215, 0.750, 0.432], [0.354, 0.000, 0.709], [0.354, 0.500, 0.709], [0.646, 0.000, 0.291], [0.646, 0.500, 0.291], [0.785, 0.250, 0.568], [0.926, 0.750, 0.850], [0.073, 0.750, 0.145], [0.927, 0.250, 0.855], [0.215, 0.250, 0.427], [0.500, 0.250, 0.003], [0.500, 0.750, 0.997], [0.785, 0.750, 0.573]]
}

=====

Number 1: Fermi-level density of states 17.80 states/eV/cell, magnetization 0.000 μB per atom. Number 2: Fermi-level density of states 15.23 states/eV/cell, magnetization 0.000 μB per atom. Number 3: Fermi-level density of states 28.85 states/eV/cell, magnetization 0.000 μB per atom. Number 4: Fermi-level density of states 17.19 states/eV/cell, magnetization 0.000 μB per atom. Number 5: Fermi-level density of states 14.93 states/eV/cell, magnetization 0.038 μB per atom. Number 6: Fermi-level density of states 30.42 states/eV/cell, magnetization 0.000 μB per atom. Number 7: Fermi-level density of states 38.67 states/eV/cell, magnetization 0.000 μB per atom. Number 8: Fermi-level density of states 25.45 states/eV/cell, magnetization 0.000 μB per atom.